# 1
Below is an optimized crystal structure of Tm4ScIn3, with properties calculated at the GGA-PBE level.

The space group is R-3m (No. 166, hexagonal axes) and the conventional cell measures 5.2584, 5.2584 and 26.2269 Å, with angles of 90.00, 90.00 and 120.00 degrees. The inequivalent atoms are Tm at (0.0000, 0.0000, 0.1193), Tm at (0.0000, 0.0000, 0.3727), Sc at (0.0000, 0.0000, 0.5000), In at (0.0000, 0.0000, 0.0000) and In at (0.0000, 0.0000, 0.2400).

The raw total energy comes out at -4.369 eV/atom. As for the total moment: 1.3 μB/f.u.



# 2
Below is an optimized crystal structure of Tm9Sc4In11, with properties calculated at the GGA-PBE level.

The space group is Cmmm (No. 65) and the conventional cell measures 17.651, 20.340 and 3.351 Å, with angles of 90.00, 90.00 and 90.00 degrees. The inequivalent atoms are Tm at (0.000, 0.000, 0.000), Tm at (0.116, 0.241, 0.000), Tm at (0.122, 0.413, 0.000), Sc at (0.148, 0.082, 0.000), In at (0.000, 0.138, 0.500), In at (0.000, 0.332, 0.500), In at (0.000, 0.500, 0.500), In at (0.242, 0.500, 0.500) and In at (0.246, 0.327, 0.500).

The raw total energy comes out at -4.341 eV/atom. As for the total moment: 1.5 μB/f.u.



# 3
Below is an optimized crystal structure of TmSc4In, with properties calculated at the GGA-PBE level.

The space group is Cmmm (No. 65) and the conventional cell measures 4.578, 14.126 and 4.565 Å, with angles of 90.00, 90.00 and 90.00 degrees. The inequivalent atoms are Tm at (0.000, 0.000, 0.000), Sc at (0.000, 0.165, 0.500), Sc at (0.000, 0.327, 0.000) and In at (0.000, 0.500, 0.500).

The raw total energy comes out at -5.590 eV/atom. As for the total moment: 0.0 μB/f.u.



# 4
Below is an optimized crystal structure of TmSc2In4, with properties calculated at the GGA-PBE level.

The space group is I4/mmm (No. 139) and the conventional cell measures 7.225, 7.225 and 6.972 Å, with angles of 90.00, 90.00 and 90.00 degrees. The inequivalent atoms are Tm at (0.000, 0.000, 0.000), Sc at (0.000, 0.500, 0.000) and In at (0.250, 0.250, 0.250).

The raw total energy comes out at -4.317 eV/atom. As for the total moment: 0.0 μB/f.u.



# 5
Below is an optimized crystal structure of Tm4Sc3In4, with properties calculated at the GGA-PBE level.

The space group is Immm (No. 71) and the conventional cell measures 3.361, 9.258 and 18.535 Å, with angles of 90.00, 90.00 and 90.00 degrees. The inequivalent atoms are Tm at (0.000, 0.183, 0.159), Sc at (0.000, 0.000, 0.408), Sc at (0.000, 0.500, 0.500), In at (0.000, 0.281, 0.000) and In at (0.000, 0.500, 0.225).

The raw total energy comes out at -4.601 eV/atom. As for the total moment: 0.0 μB/f.u.



# 6
Below is an optimized crystal structure of Tm4Sc3In, with properties calculated at the GGA-PBE level.

The space group is Pmna (No. 53) and the conventional cell measures 9.650, 6.678 and 6.667 Å, with angles of 90.00, 90.00 and 90.00 degrees. The inequivalent atoms are Tm at (0.000, 0.000, 0.000), Tm at (0.000, 0.500, 0.000), Tm at (0.250, 0.248, 0.250), Sc at (0.000, 0.000, 0.500), Sc at (0.250, 0.248, 0.750) and In at (0.000, 0.500, 0.500).

The raw total energy comes out at -4.999 eV/atom. As for the total moment: 0.0 μB/f.u.



# 7
Below is an optimized crystal structure of Tm3Sc2In, with properties calculated at the GGA-PBE level.

The space group is C2/c (No. 15) and the conventional cell measures 6.421, 10.736 and 9.336 Å, with angles of 90.00, 91.61 and 90.00 degrees. The inequivalent atoms are Tm at (0.000, 0.117, 0.250), Tm at (0.165, 0.156, 0.615), Sc at (0.170, 0.385, 0.052) and In at (0.000, 0.417, 0.750).

The raw total energy comes out at -4.935 eV/atom. As for the total moment: 0.0 μB/f.u.



# 8
Below is an optimized crystal structure of TmSc4In2, with properties calculated at the GGA-PBE level.

The space group is Fmmm (No. 69) and the conventional cell measures 6.233, 9.896 and 11.354 Å, with angles of 90.00, 90.00 and 90.00 degrees. The inequivalent atoms are Tm at (0.000, 0.000, 0.000), Sc at (0.250, 0.250, 0.000), Sc at (0.250, 0.250, 0.250) and In at (0.000, 0.000, 0.364).

The raw total energy comes out at -4.979 eV/atom. As for the total moment: 0.8 μB/f.u.



# 9
Below is an optimized crystal structure of Tm12ScIn6, with properties calculated at the GGA-PBE level.

The space group is R-3 (No. 148, hexagonal axes) and the conventional cell measures 11.2700, 11.2700 and 14.2356 Å, with angles of 90.00, 90.00 and 120.00 degrees. The inequivalent atoms are Tm at (0.0360, 0.1846, 0.3151), Tm at (0.0621, 0.8514, 0.9088), Sc at (0.0000, 0.0000, 0.5000) and In at (0.0290, 0.4355, 0.2128).

The raw total energy comes out at -4.219 eV/atom. As for the total moment: 0.0 μB/f.u.



# 10
Below is an optimized crystal structure of Tm2Sc3In, with properties calculated at the GGA-PBE level.

The space group is Cmmm (No. 65) and the conventional cell measures 4.625, 14.308 and 4.630 Å, with angles of 90.00, 90.00 and 90.00 degrees. The inequivalent atoms are Tm at (0.000, 0.161, 0.000), Sc at (0.000, 0.000, 0.500), Sc at (0.000, 0.332, 0.500) and In at (0.000, 0.500, 0.000).

The raw total energy comes out at -5.261 eV/atom. As for the total moment: 0.0 μB/f.u.



# 11
Below is an optimized crystal structure of Tm3ScIn12, with properties calculated at the GGA-PBE level.

The space group is P4/mmm (No. 123) and the conventional cell measures 4.588, 4.588 and 18.472 Å, with angles of 90.00, 90.00 and 90.00 degrees. The inequivalent atoms are Tm at (0.000, 0.000, 0.000), Tm at (0.000, 0.000, 0.253), Sc at (0.000, 0.000, 0.500), In at (0.000, 0.500, 0.126), In at (0.000, 0.500, 0.379), In at (0.500, 0.500, 0.000), In at (0.500, 0.500, 0.252) and In at (0.500, 0.500, 0.500).

The raw total energy comes out at -3.632 eV/atom. As for the total moment: 0.0 μB/f.u.



# 12
Below is an optimized crystal structure of Tm5ScIn3, with properties calculated at the GGA-PBE level.

The space group is P6_3/mcm (No. 193) and the conventional cell measures 9.1570, 9.1570 and 6.5689 Å, with angles of 90.00, 90.00 and 120.00 degrees. The inequivalent atoms are Tm at (0.0000, 0.3261, 0.2500), Tm at (0.3333, 0.6667, 0.0000), Sc at (0.0000, 0.0000, 0.0000) and In at (0.0000, 0.3368, 0.7500).

The raw total energy comes out at -4.440 eV/atom. As for the total moment: 0.5 μB/f.u.